Entry from the Alexandria database: a relaxed VFeMo2Pd crystal (PBE-GGA).

POSCAR file:
```
VFeMo2Pd
1.0
-3.4368 -3.0182 0.9901
1.2328 -0.0226 4.2102
-2.8914 3.5765 0.8659
Pd Mo Fe V
1 2 1 1
Direct
0.0000 0.0000 0.0000
0.5000 0.0000 0.0000
0.0000 0.0000 0.5000
0.0000 0.5000 0.0000
0.5000 0.5000 0.5000
```

## Properties
Fermi-level density of states (states/eV/atom): 3.062
ΔE_f (eV per atom): 2.108
Space group: P4/mmm
Total energy (eV for the cell shown): -33.9